No. 1
## SrZr2Al (GGA-PBE)

Data for an optimized crystal structure of SrZr2Al.

```
data_SrZr2Al
_space_group_name_H-M_alt 'P 1'
_space_group_IT_number 1
_cell_length_a 3.627
_cell_length_b 3.627
_cell_length_c 8.155
_cell_angle_alpha 90.00
_cell_angle_beta 90.00
_cell_angle_gamma 90.00
loop_
_space_group_symop_operation_xyz
'x,y,z'
loop_
_atom_site_label
_atom_site_fract_x
_atom_site_fract_y
_atom_site_fract_z
_atom_site_occupancy
Sr1 0.500 0.500 0.720 1
Al1 0.000 0.000 0.440 1
Zr1 0.000 0.000 0.066 1
Zr2 0.500 0.500 0.274 1
```

Results
**Spin magnetization**: 0.00 Bohr magnetons per cell


No. 2
## SrZr2Al (GGA-PBE)

Data for an optimized crystal structure of SrZr2Al.

```
data_SrZr2Al
_space_group_name_H-M_alt 'P 1'
_space_group_IT_number 1
_cell_length_a 6.354
_cell_length_b 6.354
_cell_length_c 3.184
_cell_angle_alpha 76.60
_cell_angle_beta 76.60
_cell_angle_gamma 118.98
loop_
_space_group_symop_operation_xyz
'x,y,z'
loop_
_atom_site_label
_atom_site_fract_x
_atom_site_fract_y
_atom_site_fract_z
_atom_site_occupancy
Sr1 0.000 0.500 0.500 1
Al1 0.500 0.000 0.500 1
Zr1 0.000 0.000 0.000 1
Zr2 0.500 0.500 0.000 1
```

Results
**Spin magnetization**: 0.00 Bohr magnetons per cell


No. 3
## Sr2ZrAl (GGA-PBE)

Data for an optimized crystal structure of Sr2ZrAl.

```
data_Sr2ZrAl
_space_group_name_H-M_alt 'P 1'
_space_group_IT_number 1
_cell_length_a 6.972
_cell_length_b 6.972
_cell_length_c 5.780
_cell_angle_alpha 65.59
_cell_angle_beta 65.59
_cell_angle_gamma 30.72
loop_
_space_group_symop_operation_xyz
'x,y,z'
loop_
_atom_site_label
_atom_site_fract_x
_atom_site_fract_y
_atom_site_fract_z
_atom_site_occupancy
Sr1 0.965 0.965 0.035 1
Sr2 0.759 0.759 0.741 1
Al1 0.226 0.226 0.274 1
Zr1 0.550 0.550 0.451 1
```

Results
**Spin magnetization**: 0.53 Bohr magnetons per cell


No. 4
## SrZr2Al (GGA-PBE)

Data for an optimized crystal structure of SrZr2Al.

```
data_SrZr2Al
_space_group_name_H-M_alt 'P 1'
_space_group_IT_number 1
_cell_length_a 4.569
_cell_length_b 4.628
_cell_length_c 4.628
_cell_angle_alpha 90.00
_cell_angle_beta 90.00
_cell_angle_gamma 90.00
loop_
_space_group_symop_operation_xyz
'x,y,z'
loop_
_atom_site_label
_atom_site_fract_x
_atom_site_fract_y
_atom_site_fract_z
_atom_site_occupancy
Sr1 0.500 0.000 0.500 1
Al1 0.500 0.500 0.000 1
Zr1 0.000 0.000 0.000 1
Zr2 0.000 0.500 0.500 1
```

Results
**Spin magnetization**: 0.00 Bohr magnetons per cell


No. 5
## Ta7Al (GGA-PBE)

Data for an optimized crystal structure of Ta7Al.

```
data_Ta7Al
_space_group_name_H-M_alt 'P 1'
_space_group_IT_number 1
_cell_length_a 5.908
_cell_length_b 5.908
_cell_length_c 5.908
_cell_angle_alpha 60.00
_cell_angle_beta 60.00
_cell_angle_gamma 60.00
loop_
_space_group_symop_operation_xyz
'x,y,z'
loop_
_atom_site_label
_atom_site_fract_x
_atom_site_fract_y
_atom_site_fract_z
_atom_site_occupancy
Ta1 0.000 0.500 0.500 1
Ta2 0.500 0.500 0.500 1
Ta3 0.000 0.000 0.500 1
Ta4 0.500 0.500 0.000 1
Ta5 0.000 0.500 0.000 1
Ta6 0.500 0.000 0.000 1
Ta7 0.500 0.000 0.500 1
Al1 0.000 0.000 0.000 1
```

Results
**Spin magnetization**: 0.00 Bohr magnetons per cell


No. 6
## Ta2Al (GGA-PBE)

Data for an optimized crystal structure of Ta2Al.

```
data_Ta2Al
_space_group_name_H-M_alt 'P 1'
_space_group_IT_number 1
_cell_length_a 5.461
_cell_length_b 5.461
_cell_length_c 5.461
_cell_angle_alpha 60.00
_cell_angle_beta 60.00
_cell_angle_gamma 60.00
loop_
_space_group_symop_operation_xyz
'x,y,z'
loop_
_atom_site_label
_atom_site_fract_x
_atom_site_fract_y
_atom_site_fract_z
_atom_site_occupancy
Ta1 0.125 0.625 0.125 1
Ta2 0.125 0.125 0.125 1
Ta3 0.625 0.125 0.125 1
Ta4 0.125 0.125 0.625 1
Al1 0.750 0.750 0.750 1
Al2 0.500 0.500 0.500 1
```

Results
**Spin magnetization**: 0.00 Bohr magnetons per cell


No. 7
## Ta2Al (GGA-PBE)

Data for an optimized crystal structure of Ta2Al.

```
data_Ta2Al
_space_group_name_H-M_alt 'P 1'
_space_group_IT_number 1
_cell_length_a 4.910
_cell_length_b 4.910
_cell_length_c 4.910
_cell_angle_alpha 147.57
_cell_angle_beta 119.94
_cell_angle_gamma 69.94
loop_
_space_group_symop_operation_xyz
'x,y,z'
loop_
_atom_site_label
_atom_site_fract_x
_atom_site_fract_y
_atom_site_fract_z
_atom_site_occupancy
Ta1 0.321 0.821 0.500 1
Ta2 0.679 0.179 0.500 1
Al1 0.000 0.000 0.000 1
```

Results
**Spin magnetization**: 0.00 Bohr magnetons per cell


No. 8
## Ta2Al (GGA-PBE)

Data for an optimized crystal structure of Ta2Al.

```
data_Ta2Al
_space_group_name_H-M_alt 'P 1'
_space_group_IT_number 1
_cell_length_a 2.916
_cell_length_b 2.916
_cell_length_c 7.247
_cell_angle_alpha 90.00
_cell_angle_beta 90.00
_cell_angle_gamma 120.00
loop_
_space_group_symop_operation_xyz
'x,y,z'
loop_
_atom_site_label
_atom_site_fract_x
_atom_site_fract_y
_atom_site_fract_z
_atom_site_occupancy
Al1 0.000 0.000 0.000 1
Ta1 0.667 0.333 0.676 1
Ta2 0.333 0.667 0.324 1
```

Results
**Spin magnetization**: 0.00 Bohr magnetons per cell


No. 9
## TaAl2 (GGA-PBE)

Data for an optimized crystal structure of TaAl2.

```
data_TaAl2
_space_group_name_H-M_alt 'P 1'
_space_group_IT_number 1
_cell_length_a 3.139
_cell_length_b 3.139
_cell_length_c 5.533
_cell_angle_alpha 107.87
_cell_angle_beta 107.87
_cell_angle_gamma 85.16
loop_
_space_group_symop_operation_xyz
'x,y,z'
loop_
_atom_site_label
_atom_site_fract_x
_atom_site_fract_y
_atom_site_fract_z
_atom_site_occupancy
Al1 0.172 0.172 0.343 1
Al2 0.828 0.828 0.657 1
Ta1 0.500 0.500 0.000 1
```

Results
**Spin magnetization**: 0.00 Bohr magnetons per cell


No. 10
## Ta3Al (GGA-PBE)

Data for an optimized crystal structure of Ta3Al.

```
data_Ta3Al
_space_group_name_H-M_alt 'P 1'
_space_group_IT_number 1
_cell_length_a 5.116
_cell_length_b 5.116
_cell_length_c 2.920
_cell_angle_alpha 90.00
_cell_angle_beta 90.00
_cell_angle_gamma 110.99
loop_
_space_group_symop_operation_xyz
'x,y,z'
loop_
_atom_site_label
_atom_site_fract_x
_atom_site_fract_y
_atom_site_fract_z
_atom_site_occupancy
Al1 0.000 0.000 0.000 1
Ta1 0.000 0.500 0.500 1
Ta2 0.500 0.000 0.500 1
Ta3 0.500 0.500 0.000 1
```

Results
**Spin magnetization**: 0.00 Bohr magnetons per cell


No. 11
## Ta17Al12 (GGA-PBE)

Data for an optimized crystal structure of Ta17Al12.

```
data_Ta17Al12
_space_group_name_H-M_alt 'P 1'
_space_group_IT_number 1
_cell_length_a 8.634
_cell_length_b 8.634
_cell_length_c 8.634
_cell_angle_alpha 109.47
_cell_angle_beta 109.47
_cell_angle_gamma 109.47
loop_
_space_group_symop_operation_xyz
'x,y,z'
loop_
_atom_site_label
_atom_site_fract_x
_atom_site_fract_y
_atom_site_fract_z
_atom_site_occupancy
Ta1 0.000 0.000 0.000 1
Ta2 0.000 0.000 0.648 1
Ta3 0.648 0.000 0.000 1
Ta4 0.000 0.648 0.000 1
Ta5 0.352 0.352 0.352 1
Ta6 0.678 0.000 0.408 1
Ta7 0.322 0.322 0.730 1
Ta8 0.000 0.678 0.408 1
Ta9 0.408 0.000 0.678 1
Ta10 0.408 0.678 0.000 1
Ta11 0.730 0.322 0.322 1
Ta12 0.322 0.730 0.322 1
Ta13 0.678 0.408 0.000 1
Ta14 0.000 0.408 0.678 1
Ta15 0.592 0.270 0.592 1
Ta16 0.592 0.592 0.270 1
Ta17 0.270 0.592 0.592 1
Al1 0.186 0.000 0.368 1
Al2 0.814 0.814 0.182 1
Al3 0.000 0.186 0.368 1
Al4 0.368 0.000 0.186 1
Al5 0.368 0.186 0.000 1
Al6 0.182 0.814 0.814 1
Al7 0.814 0.182 0.814 1
Al8 0.186 0.368 0.000 1
Al9 0.000 0.368 0.186 1
Al10 0.632 0.818 0.632 1
Al11 0.632 0.632 0.818 1
Al12 0.818 0.632 0.632 1
```

Results
**Spin magnetization**: 0.00 Bohr magnetons per cell


No. 12
## TaAl (GGA-PBE)

Data for an optimized crystal structure of TaAl.

```
data_TaAl
_space_group_name_H-M_alt 'P 1'
_space_group_IT_number 1
_cell_length_a 5.177
_cell_length_b 5.177
_cell_length_c 5.177
_cell_angle_alpha 90.00
_cell_angle_beta 90.00
_cell_angle_gamma 90.00
loop_
_space_group_symop_operation_xyz
'x,y,z'
loop_
_atom_site_label
_atom_site_fract_x
_atom_site_fract_y
_atom_site_fract_z
_atom_site_occupancy
Ta1 0.397 0.897 0.603 1
Ta2 0.103 0.103 0.103 1
Ta3 0.603 0.397 0.897 1
Ta4 0.897 0.603 0.397 1
Al1 0.097 0.597 0.903 1
Al2 0.403 0.403 0.403 1
Al3 0.903 0.097 0.597 1
Al4 0.597 0.903 0.097 1
```

Results
**Spin magnetization**: 0.00 Bohr magnetons per cell


| no. | DFT total energy (eV/atom) | calculated formation energy (eV per atom) |
| --- | --- | --- |
| 1 | -5.59 | 0.039 |
| 2 | -5.31 | 0.324 |
| 3 | -3.71 | 0.202 |
| 4 | -5.38 | 0.254 |
| 5 | -10.76 | 0.077 |
| 6 | -8.76 | 0.386 |
| 7 | -8.98 | 0.165 |
| 8 | -9.13 | 0.021 |
| 9 | -6.52 | -0.071 |
| 10 | -9.85 | -0.030 |
| 11 | -8.64 | -0.146 |
| 12 | -7.81 | -0.015 |